1.
Compound: SrNbNiAu2
Source: Alexandria
Functional: PBE
Structure: relaxed

Results
For the total energy, the calculation gives -4.69 eV/atom. The crystal system is tetragonal. Its formation energy is 132 meV per atom.

Unit cell a=5.0255 b=4.4916 c=5.0255 alpha=90.00 beta=90.00 gamma=90.00
Last column: nearest neighbours and their distance in Å.
Fractional positions:
Ni 0.0000 0.0000 0.0000  2 Nb 2.25, 4 Au 2.51
Sr 0.5000 0.5000 0.5000  8 Au 3.37, 4 Nb 3.55
Au 0.0000 0.0000 0.5000  2 Ni 2.51
Au 0.5000 0.0000 0.0000  2 Ni 2.51
Nb 0.0000 0.5000 0.0000  2 Ni 2.25

2.
Compound: TaNbNiAu
Source: Alexandria
Functional: PBE
Structure: relaxed

Results
For the total energy, the calculation gives -7.85 eV/atom. The crystal system is tetragonal. Its formation energy is -110 meV per atom.

Unit cell a=3.3042 b=3.3042 c=6.0099 alpha=90.00 beta=90.00 gamma=90.00
Last column: nearest neighbours and their distance in Å.
Fractional positions:
Ta 0.0000 0.0000 0.8522  4 Au 2.80, 4 Nb 2.89, 2 Ni 2.96-3.05
Ni 0.0000 0.0000 0.3449  4 Nb 2.65, 4 Au 2.78, 1 Ta 2.96
Au 0.5000 0.5000 0.5949  1 Nb 2.76, 4 Ni 2.78, 4 Ta 2.80
Nb 0.5000 0.5000 0.1359  4 Ni 2.65, 1 Au 2.76, 4 Ta 2.89

3.
Compound: TiNbNiAu
Source: Alexandria
Functional: PBE
Structure: relaxed

Results
For the total energy, the calculation gives -7.04 eV/atom. The crystal system is tetragonal. Its formation energy is -287 meV per atom.

Unit cell a=3.2351 b=3.2351 c=6.0789 alpha=90.00 beta=90.00 gamma=90.00
Last column: nearest neighbours and their distance in Å.
Fractional positions:
Ni 0.0000 0.0000 0.3428  4 Nb 2.62, 4 Au 2.78
Au 0.5000 0.5000 0.6025  4 Ti 2.74, 4 Ni 2.78, 1 Nb 2.86
Nb 0.5000 0.5000 0.1327  4 Ni 2.62, 1 Au 2.86, 4 Ti 2.86
Ti 0.0000 0.0000 0.8499  4 Au 2.74, 4 Nb 2.86, 1 Ni 3.00

4.
Compound: NbAu2O
Source: Alexandria
Functional: PBE
Structure: relaxed

Results
The calculation puts the formation energy without anion corrections at -0.064 eV/atom. For the total energy, the calculation gives -5.46 eV/atom. The crystal system is tetragonal.

Unit cell a=8.6676 b=8.6676 c=6.4413 alpha=47.72 beta=47.72 gamma=90.00
Last column: nearest neighbours and their distance in Å.
Fractional positions:
O 0.2500 0.7500 0.5000  2 Nb 1.98
O 0.5000 0.5000 0.0000  2 Nb 1.98
Au 0.3750 0.4761 0.7500  2 O 2.57, 2 Au 2.65
Au 0.8750 0.7739 0.7500  2 O 2.57, 2 Au 2.65
Au 0.5239 0.1250 0.2500  2 O 2.57, 2 Au 2.65
Au 0.2261 0.6250 0.2500  2 O 2.57, 2 Au 2.65
Nb 0.0000 0.0000 0.0000  2 O 1.98
Nb 0.7500 0.2500 0.5000  2 O 1.98

5.
Compound: NbAuO
Source: Alexandria
Functional: PBE
Structure: relaxed

Results
The calculation puts the formation energy without anion corrections at -0.774 eV/atom. For the total energy, the calculation gives -6.88 eV/atom. The crystal system is trigonal.

Unit cell a=3.5347 b=3.5347 c=9.5528 alpha=90.00 beta=90.00 gamma=120.00
Last column: nearest neighbours and their distance in Å.
Fractional positions:
Nb 0.6667 0.3333 0.6056  3 O 2.06
Nb 0.3333 0.6667 0.3944  3 O 2.06
Au 0.3333 0.6667 0.1013  1 Nb 2.80, 3 Au 2.81
Au 0.6667 0.3333 0.8987  1 Nb 2.80, 3 Au 2.81
O 0.6667 0.3333 0.3638  3 Nb 2.06
O 0.3333 0.6667 0.6362  3 Nb 2.06

6.
Compound: NbAuO2
Source: Alexandria
Functional: PBE
Structure: relaxed

Results
The calculation puts the formation energy without anion corrections at -1.285 eV/atom. For the total energy, the calculation gives -7.10 eV/atom. The crystal system is cubic.

Unit cell a=6.1653 b=6.1653 c=6.1650 alpha=60.00 beta=60.00 gamma=90.00
Last column: nearest neighbours and their distance in Å.
Fractional positions:
O 0.3755 0.6250 0.2500  2 Nb 1.89
O 0.8750 0.6245 0.7500  2 Nb 1.89
O 0.3750 0.6255 0.7500  2 Nb 1.89
O 0.3745 0.1250 0.2500  2 Nb 1.89
Au 0.7500 0.2500 0.5000  12 O 3.61-3.62, 4 Au 3.78, 4 Nb 3.78
Au 0.0000 0.0000 0.0000  12 O 3.61-3.62, 4 Nb 3.78, 4 Au 3.78
Nb 0.5000 0.5000 0.0000  4 O 1.89
Nb 0.2500 0.7500 0.5000  4 O 1.89

7.
Compound: NbAuO2
Source: Alexandria
Functional: PBE
Structure: relaxed

Results
The calculation puts the formation energy without anion corrections at -0.337 eV/atom. For the total energy, the calculation gives -6.15 eV/atom. The crystal system is trigonal.

Unit cell a=7.4030 b=7.4030 c=7.4030 alpha=23.87 beta=23.87 gamma=23.87
Last column: nearest neighbours and their distance in Å.
Fractional positions:
O 0.9128 0.9128 0.9128  1 Nb 1.88
O 0.0872 0.0872 0.0872  1 Nb 1.88
Nb 0.0000 0.0000 0.0000  2 O 1.88
Au 0.5000 0.5000 0.5000  6 O 2.46

8.
Compound: Nb3AuO
Source: Alexandria
Functional: PBE
Structure: relaxed

Results
The calculation puts the formation energy without anion corrections at -0.712 eV/atom. For the total energy, the calculation gives -8.40 eV/atom. The crystal system is cubic.

Unit cell a=4.2722 b=4.2722 c=4.2722 alpha=90.00 beta=90.00 gamma=90.00
Last column: nearest neighbours and their distance in Å.
Fractional positions:
Nb 0.5000 0.0000 0.0000  2 O 2.14
Nb 0.0000 0.0000 0.5000  2 O 2.14
Nb 0.0000 0.5000 0.0000  2 O 2.14
O 0.0000 0.0000 0.0000  6 Nb 2.14
Au 0.5000 0.5000 0.5000  12 Nb 3.02

9.
Compound: NbAu3O
Source: Alexandria
Functional: PBE
Structure: relaxed

Results
The calculation puts the formation energy without anion corrections at 1.602 eV/atom. For the total energy, the calculation gives -3.37 eV/atom. The crystal system is cubic.

Unit cell a=5.1376 b=5.1376 c=5.1376 alpha=90.00 beta=90.00 gamma=90.00
Last column: nearest neighbours and their distance in Å.
Fractional positions:
Au 0.0000 0.5000 0.0000  2 Nb 2.57
Au 0.0000 0.0000 0.5000  2 Nb 2.57
Au 0.5000 0.0000 0.0000  2 Nb 2.57
Nb 0.0000 0.0000 0.0000  6 Au 2.57
O 0.5000 0.5000 0.5000  12 Au 3.63

10.
Compound: NbAuO2
Source: Alexandria
Functional: PBE
Structure: relaxed

Results
The calculation puts the formation energy without anion corrections at -1.439 eV/atom. For the total energy, the calculation gives -7.26 eV/atom. The crystal system is trigonal.

Unit cell a=8.0825 b=8.0825 c=8.0825 alpha=21.07 beta=21.07 gamma=21.07
Last column: nearest neighbours and their distance in Å.
Fractional positions:
Au 0.0000 0.0000 0.0000  2 O 2.75, 6 Au 2.96
O 0.8839 0.8839 0.8839  3 Nb 2.09
O 0.1161 0.1161 0.1161  3 Nb 2.09
Nb 0.5000 0.5000 0.5000  6 O 2.09

11.
Compound: NbAuO2
Source: Alexandria
Functional: PBE
Structure: relaxed

Results
The calculation puts the formation energy without anion corrections at -0.330 eV/atom. For the total energy, the calculation gives -6.15 eV/atom. The crystal system is cubic.

Unit cell a=4.0700 b=4.0700 c=4.0700 alpha=60.00 beta=60.00 gamma=60.00
Last column: nearest neighbours and their distance in Å.
Fractional positions:
Nb 0.0000 0.0000 0.0000  8 O 2.49
Au 0.5000 0.5000 0.5000  8 O 2.49
O 0.7500 0.7500 0.7500  4 Nb 2.49, 4 Au 2.49
O 0.2500 0.2500 0.2500  4 Nb 2.49, 4 Au 2.49

12.
Compound: Nb2Au2O
Source: Alexandria
Functional: PBE
Structure: relaxed

Results
The calculation puts the formation energy without anion corrections at -0.681 eV/atom. For the total energy, the calculation gives -7.01 eV/atom. The crystal system is tetragonal.

Unit cell a=5.7557 b=5.7557 c=4.9725 alpha=90.00 beta=90.00 gamma=90.00
Last column: nearest neighbours and their distance in Å.
Fractional positions:
Au 0.3331 0.1669 0.5000  5 Au 2.72-3.03, 2 Nb 2.81
Au 0.6669 0.8331 0.5000  5 Au 2.72-3.03, 2 Nb 2.81
Au 0.8331 0.3331 0.5000  5 Au 2.72-3.03, 2 Nb 2.81
Au 0.1669 0.6669 0.5000  5 Au 2.72-3.03, 2 Nb 2.81
Nb 0.8290 0.6710 0.0000  2 O 2.13
Nb 0.3290 0.8290 0.0000  2 O 2.13
Nb 0.6710 0.1710 0.0000  2 O 2.13
Nb 0.1710 0.3290 0.0000  2 O 2.13
O 0.5000 0.5000 0.0000  4 Nb 2.13
O 0.0000 0.0000 0.0000  4 Nb 2.13